Entry 1:
A plane-wave DFT calculation with PBE was carried out for a relaxed KLaZnP2 crystal.

a b c (Å): 5.009 5.217 5.009
angles (deg): 90.00 90.00 90.00
Element x y z (fractional)
P 0.000 0.000 0.500
P 0.500 0.000 0.000
Zn 0.000 0.000 0.000
K 0.500 0.500 0.500
La 0.000 0.500 0.000

Summary:
- total magnetization (μB/atom) = 0.000
- density of states at the Fermi level (states/eV per atom) = 0.670
- total energy (eV/atom) = -3.374
- space-group type = P4/mmm, No. 123

Entry 2:
A plane-wave DFT calculation with PBE was carried out for a relaxed Si3HS crystal.

a b c (Å): 4.614 4.614 4.614
angles (deg): 90.00 90.00 90.00
Element x y z (fractional)
H 0.500 0.500 0.500
S 0.000 0.000 0.000
Si 0.000 0.500 0.000
Si 0.000 0.000 0.500
Si 0.500 0.000 0.000

Summary:
- total magnetization (μB/atom) = 0.000
- density of states at the Fermi level (states/eV per atom) = 0.598
- ΔE to the lowest computed polymorph (meV/atom) = 648
- total energy (eV/atom) = -3.303
- space-group type = Pm-3m, No. 221

Entry 3:
A plane-wave DFT calculation with PBE was carried out for a relaxed MgRh2 crystal.

a b c (Å): 5.173 5.173 5.173
angles (deg): 60.00 60.00 60.00
Element x y z (fractional)
Mg 0.875 0.875 0.375
Mg 0.125 0.125 0.625
Rh 0.500 0.500 0.500
Rh 0.000 0.500 0.000
Rh 0.500 0.000 0.000
Rh 0.500 0.500 0.000

Summary:
- total magnetization (μB/atom) = 0.001
- density of states at the Fermi level (states/eV per atom) = 1.427
- total energy (eV/atom) = -5.668
- space-group type = Fd-3m, No. 227

Entry 4:
A plane-wave DFT calculation with PBE was carried out for a relaxed SmHoCd crystal.

a b c (Å): 5.181 5.181 5.181
angles (deg): 59.99 60.00 60.00
Element x y z (fractional)
Sm 0.750 0.750 0.750
Ho 0.250 0.250 0.250
Cd 0.000 0.000 0.000

Summary:
- total magnetization (μB/atom) = 0.002
- density of states at the Fermi level (states/eV per atom) = 1.644
- ΔE to the lowest computed polymorph (meV/atom) = 291
- total energy (eV/atom) = -3.307
- space-group type = F-43m, No. 216

Entry 5:
A plane-wave DFT calculation with PBE was carried out for a relaxed TaBeCoC2 crystal.

a b c (Å): 3.591 4.862 3.591
angles (deg): 90.00 90.00 90.00
Element x y z (fractional)
Be 0.500 0.500 0.500
C 0.000 0.000 0.500
C 0.500 0.000 0.000
Co 0.000 0.000 0.000
Ta 0.000 0.500 0.000

Summary:
- total magnetization (μB/atom) = 0.000
- density of states at the Fermi level (states/eV per atom) = 0.793
- total energy (eV/atom) = -6.631
- space-group type = P4/mmm, No. 123

Entry 6:
A plane-wave DFT calculation with PBE was carried out for a relaxed ZrAs2Se crystal.

a b c (Å): 8.455 8.455 8.455
angles (deg): 24.66 24.66 24.66
Element x y z (fractional)
As 0.998 0.998 0.998
As 0.269 0.269 0.269
Se 0.483 0.483 0.483
Zr 0.750 0.750 0.750

Summary:
- total magnetization (μB/atom) = 0.001
- density of states at the Fermi level (states/eV per atom) = 1.225
- E_form (uncorrected) (meV per atom) = -380.9
- total energy (eV/atom) = -5.714
- space-group type = R3m, No. 160

Entry 7:
A plane-wave DFT calculation with PBE was carried out for a relaxed AlTlPd2 crystal.

a b c (Å): 3.107 3.107 7.144
angles (deg): 90.00 90.00 90.00
Element x y z (fractional)
Tl 0.500 0.500 0.500
Al 0.500 0.500 0.000
Pd 0.000 0.000 0.798
Pd 0.000 0.000 0.202

Summary:
- total magnetization (μB/atom) = 0.000
- density of states at the Fermi level (states/eV per atom) = 0.535
- ΔE to the lowest computed polymorph (meV/atom) = 0
- total energy (eV/atom) = -4.624
- space-group type = P4/mmm, No. 123

Entry 8:
A plane-wave DFT calculation with PBE was carried out for a relaxed PrNdZnRu crystal.

a b c (Å): 5.104 5.104 5.104
angles (deg): 60.00 60.00 60.00
Element x y z (fractional)
Pr 0.500 0.500 0.500
Ru 0.750 0.750 0.750
Zn 0.250 0.250 0.250
Nd 0.000 0.000 0.000

Summary:
- total magnetization (μB/atom) = 0.000
- density of states at the Fermi level (states/eV per atom) = 1.112
- ΔE to the lowest computed polymorph (meV/atom) = 31
- total energy (eV/atom) = -5.220
- space-group type = F-43m, No. 216

Entry 9:
A plane-wave DFT calculation with PBE was carried out for a relaxed Tb4Pm3Cd crystal.

a b c (Å): 6.246 7.105 11.330
angles (deg): 90.00 90.00 90.00
Element x y z (fractional)
Tb 0.963 0.887 0.000
Tb 0.489 0.131 0.000
Tb 0.142 0.126 0.240
Tb 0.642 0.874 0.260
Tb 0.989 0.869 0.500
Tb 0.463 0.113 0.500
Tb 0.642 0.874 0.740
Tb 0.142 0.126 0.760
Pm 0.504 0.628 0.000
Pm 0.150 0.619 0.235
Pm 0.650 0.381 0.265
Pm 0.004 0.372 0.500
Pm 0.650 0.381 0.735
Pm 0.150 0.619 0.765
Cd 0.976 0.369 0.000
Cd 0.476 0.631 0.500

Summary:
- total magnetization (μB/atom) = 0.000
- density of states at the Fermi level (states/eV per atom) = 1.193
- ΔE to the lowest computed polymorph (meV/atom) = 0
- total energy (eV/atom) = -4.256
- space-group type = Pmn2_1, No. 31

Entry 10:
A plane-wave DFT calculation with PBE was carried out for a relaxed LaNd6Y3Ho2 crystal.

a b c (Å): 6.308 6.308 11.978
angles (deg): 95.03 95.03 120.00
Element x y z (fractional)
La 0.000 0.000 0.000
Nd 0.916 0.581 0.749
Nd 0.750 0.750 0.251
Nd 0.084 0.419 0.251
Nd 0.581 0.916 0.749
Nd 0.250 0.250 0.749
Nd 0.419 0.084 0.251
Y 0.167 0.833 0.500
Y 0.833 0.167 0.500
Y 0.500 0.500 0.500
Ho 0.334 0.666 0.000
Ho 0.666 0.334 0.000

Summary:
- total magnetization (μB/atom) = 0.000
- density of states at the Fermi level (states/eV per atom) = 1.306
- total energy (eV/atom) = -5.159
- space-group type = C2/m, No. 12

Entry 11:
A plane-wave DFT calculation with PBE was carried out for a relaxed Cd3H7Rh4 crystal.

a b c (Å): 2.992 9.958 7.190
angles (deg): 47.61 77.99 81.36
Element x y z (fractional)
Cd 0.297 0.182 0.223
Cd 0.703 0.818 0.777
Cd 0.000 0.500 0.500
H 0.411 0.745 0.432
H 0.582 0.988 0.848
H 0.814 0.454 0.918
H 0.589 0.255 0.568
H 0.186 0.546 0.082
H 0.000 0.000 0.000
H 0.418 0.012 0.152
Rh 0.670 0.428 0.232
Rh 0.330 0.572 0.768
Rh 0.896 0.894 0.313
Rh 0.104 0.106 0.687

Summary:
- total magnetization (μB/atom) = 0.000
- density of states at the Fermi level (states/eV per atom) = 0.202
- total energy (eV/atom) = -4.027
- space-group type = C2/m, No. 12

Entry 12:
A plane-wave DFT calculation with PBE was carried out for a relaxed La2Sm15Ho2 crystal.

a b c (Å): 8.879 8.879 8.879
angles (deg): 80.01 80.01 80.01
Element x y z (fractional)
La 0.675 0.675 0.675
La 0.325 0.325 0.325
Sm 0.000 0.500 0.000
Sm 0.000 0.000 0.500
Sm 0.500 0.000 0.000
Sm 0.294 0.000 0.706
Sm 0.706 0.294 0.000
Sm 0.000 0.706 0.294
Sm 0.294 0.706 0.000
Sm 0.000 0.294 0.706
Sm 0.706 0.000 0.294
Sm 0.369 0.849 0.369
Sm 0.369 0.369 0.849
Sm 0.849 0.369 0.369
Sm 0.631 0.151 0.631
Sm 0.631 0.631 0.151
Sm 0.151 0.631 0.631
Ho 0.906 0.906 0.906
Ho 0.094 0.094 0.094

Summary:
- total magnetization (μB/atom) = 0.006
- density of states at the Fermi level (states/eV per atom) = 1.771
- total energy (eV/atom) = -4.478
- space-group type = R-3m, No. 166

Entry 13:
A plane-wave DFT calculation with PBE was carried out for a relaxed CaTmHg2 crystal.

a b c (Å): 3.705 5.265 5.265
angles (deg): 90.00 90.00 90.00
Element x y z (fractional)
Ca 0.500 0.000 0.000
Tm 0.500 0.500 0.500
Hg 0.000 0.000 0.500
Hg 0.000 0.500 0.000

Summary:
- total magnetization (μB/atom) = 0.000
- density of states at the Fermi level (states/eV per atom) = 0.407
- total energy (eV/atom) = -2.296
- space-group type = P4/mmm, No. 123

Entry 14:
A plane-wave DFT calculation with PBE was carried out for a relaxed AcDyCuSb crystal.

a b c (Å): 5.389 5.389 5.389
angles (deg): 60.00 60.00 60.00
Element x y z (fractional)
Sb 0.750 0.750 0.750
Ac 0.500 0.500 0.500
Cu 0.250 0.250 0.250
Dy 0.000 0.000 0.000

Summary:
- total magnetization (μB/atom) = 0.000
- density of states at the Fermi level (states/eV per atom) = 1.226
- E_form (uncorrected) (meV per atom) = -401.3
- total energy (eV/atom) = -4.634
- space-group type = F-43m, No. 216

Entry 15:
A plane-wave DFT calculation with PBE was carried out for a relaxed Ti2V2Au crystal.

a b c (Å): 6.809 6.809 3.450
angles (deg): 90.00 90.00 90.00
Element x y z (fractional)
V 0.379 0.879 0.000
V 0.879 0.621 0.000
V 0.621 0.121 0.000
V 0.121 0.379 0.000
Au 0.000 0.000 0.000
Au 0.500 0.500 0.000
Ti 0.173 0.673 0.500
Ti 0.673 0.827 0.500
Ti 0.827 0.327 0.500
Ti 0.327 0.173 0.500

Summary:
- total magnetization (μB/atom) = 0.000
- density of states at the Fermi level (states/eV per atom) = 1.228
- ΔE to the lowest computed polymorph (meV/atom) = 45
- total energy (eV/atom) = -7.426
- space-group type = P4/mbm, No. 127

Entry 16:
A plane-wave DFT calculation with PBE was carried out for a relaxed SrCoCl4 crystal.

a b c (Å): 5.999 5.999 5.999
angles (deg): 60.00 60.00 60.00
Element x y z (fractional)
Sr 0.000 0.000 0.000
Co 0.750 0.750 0.750
Cl 0.873 0.376 0.376
Cl 0.376 0.376 0.873
Cl 0.376 0.873 0.376
Cl 0.376 0.376 0.376

Summary:
- total magnetization (μB/atom) = 0.609
- density of states at the Fermi level (states/eV per atom) = 1.790
- E_form (uncorrected) (meV per atom) = -15.1
- total energy (eV/atom) = -2.711
- space-group type = F-43m, No. 216

Entry 17:
A plane-wave DFT calculation with PBE was carried out for a relaxed Hf3CdC crystal.

a b c (Å): 8.321 8.321 5.554
angles (deg): 90.00 90.00 141.94
Element x y z (fractional)
C 0.435 0.565 0.250
C 0.565 0.435 0.750
Hf 0.084 0.409 0.250
Hf 0.591 0.916 0.250
Hf 0.409 0.084 0.750
Hf 0.916 0.591 0.750
Hf 0.000 0.000 0.000
Hf 0.000 0.000 0.500
Cd 0.167 0.833 0.250
Cd 0.833 0.167 0.750

Summary:
- total magnetization (μB/atom) = 0.000
- density of states at the Fermi level (states/eV per atom) = 0.582
- ΔE to the lowest computed polymorph (meV/atom) = 1310
- total energy (eV/atom) = -7.124
- space-group type = Cmcm, No. 63

Entry 18:
A plane-wave DFT calculation with PBE was carried out for a relaxed K3Rb4SrBr8 crystal.

a b c (Å): 9.740 9.854 9.737
angles (deg): 119.61 120.01 90.00
Element x y z (fractional)
K 0.500 0.500 0.000
K 0.500 0.500 0.500
K 0.000 0.500 0.500
Rb 0.500 0.000 0.000
Rb 0.500 0.000 0.500
Rb 0.000 0.000 0.000
Rb 0.000 0.000 0.500
Sr 0.000 0.500 0.000
Br 0.227 0.719 0.992
Br 0.227 0.720 0.454
Br 0.255 0.263 0.509
Br 0.765 0.719 0.992
Br 0.235 0.281 0.008
Br 0.745 0.737 0.491
Br 0.773 0.280 0.546
Br 0.773 0.281 0.008

Summary:
- total magnetization (μB/atom) = 0.000
- density of states at the Fermi level (states/eV per atom) = 0.199
- E_form (uncorrected) (meV per atom) = -1694.4
- total energy (eV/atom) = -3.084
- space-group type = R-3m, No. 166

Entry 19:
A plane-wave DFT calculation with PBE was carried out for a relaxed BaZrSb2 crystal.

a b c (Å): 3.330 3.330 11.218
angles (deg): 90.00 90.00 90.06
Element x y z (fractional)
Ba 0.500 0.500 0.757
Sb 0.000 0.000 0.998
Sb 0.500 0.500 0.282
Zr 0.000 0.000 0.463

Summary:
- total magnetization (μB/atom) = 0.000
- density of states at the Fermi level (states/eV per atom) = 0.816
- E_form (uncorrected) (meV per atom) = 29.7
- ΔE to the lowest computed polymorph (meV/atom) = 824
- total energy (eV/atom) = -4.649
- space-group type = P4mm, No. 99

Entry 20:
A plane-wave DFT calculation with PBE was carried out for a relaxed LiZrO2F crystal.

a b c (Å): 4.132 4.132 4.243
angles (deg): 90.00 90.00 90.00
Element x y z (fractional)
Li 0.500 0.500 0.500
O 0.000 0.500 0.000
O 0.500 0.000 0.000
Zr 0.000 0.000 0.000
F 0.000 0.000 0.500

Summary:
- total magnetization (μB/atom) = 0.000
- density of states at the Fermi level (states/eV per atom) = 0.000
- E_form (uncorrected) (meV per atom) = -2765.4
- total energy (eV/atom) = -7.215
- space-group type = P4/mmm, No. 123

Entry 21:
A plane-wave DFT calculation with PBE was carried out for a relaxed In2RePtN crystal.

a b c (Å): 4.668 3.896 4.668
angles (deg): 90.00 90.00 90.00
Element x y z (fractional)
Re 0.500 0.500 0.500
N 0.000 0.000 0.000
Pt 0.000 0.500 0.000
In 0.000 0.000 0.500
In 0.500 0.000 0.000

Summary:
- total magnetization (μB/atom) = 0.000
- density of states at the Fermi level (states/eV per atom) = 0.941
- E_form (uncorrected) (meV per atom) = 966.3
- total energy (eV/atom) = -5.492
- space-group type = P4/mmm, No. 123

Entry 22:
A plane-wave DFT calculation with PBE was carried out for a relaxed ZnCrTe2 crystal.

a b c (Å): 4.947 4.947 3.704
angles (deg): 90.00 90.00 98.03
Element x y z (fractional)
Cr 0.000 0.500 0.500
Te 0.000 0.000 0.000
Te 0.500 0.500 0.000
Zn 0.500 0.000 0.500

Summary:
- total magnetization (μB/atom) = 0.955
- density of states at the Fermi level (states/eV per atom) = 0.452
- E_form (uncorrected) (meV per atom) = 273.2
- total energy (eV/atom) = -4.022
- space-group type = Cmmm, No. 65

Entry 23:
A plane-wave DFT calculation with PBE was carried out for a relaxed VAu3N crystal.

a b c (Å): 5.018 5.018 5.018
angles (deg): 90.00 90.00 90.00
Element x y z (fractional)
V 0.000 0.000 0.000
Au 0.000 0.500 0.000
Au 0.000 0.000 0.500
Au 0.500 0.000 0.000
N 0.500 0.500 0.500

Summary:
- total magnetization (μB/atom) = 1.002
- density of states at the Fermi level (states/eV per atom) = 0.761
- E_form (uncorrected) (meV per atom) = 1860.3
- ΔE to the lowest computed polymorph (meV/atom) = 948
- total energy (eV/atom) = -3.595
- space-group type = Pm-3m, No. 221

Entry 24:
A plane-wave DFT calculation with PBE was carried out for a relaxed BaPm5Ge2 crystal.

a b c (Å): 4.686 7.914 7.914
angles (deg): 73.02 72.78 72.78
Element x y z (fractional)
Ba 0.000 0.000 0.000
Pm 0.000 0.500 0.500
Pm 0.659 0.530 0.151
Pm 0.341 0.470 0.849
Pm 0.341 0.849 0.470
Pm 0.659 0.151 0.530
Ge 0.736 0.764 0.764
Ge 0.264 0.236 0.236

Summary:
- total magnetization (μB/atom) = 0.000
- density of states at the Fermi level (states/eV per atom) = 1.272
- total energy (eV/atom) = -4.682
- space-group type = Immm, No. 71

Entry 25:
A plane-wave DFT calculation with PBE was carried out for a relaxed TaTcIr4 crystal.

a b c (Å): 5.126 5.126 5.126
angles (deg): 60.00 60.00 60.00
Element x y z (fractional)
Ta 0.250 0.250 0.250
Tc 0.000 0.000 0.000
Ir 0.625 0.625 0.124
Ir 0.625 0.124 0.625
Ir 0.625 0.625 0.625
Ir 0.124 0.625 0.625

Summary:
- total magnetization (μB/atom) = 0.205
- density of states at the Fermi level (states/eV per atom) = 1.697
- total energy (eV/atom) = -9.514
- space-group type = F-43m, No. 216